The following is a GGA+U calculation of an optimized crystal structure of GaFeI2O, from Alexandria via LeMat-Bulk.

Cell: 6.486 6.486 3.856 Å, 90.00 90.00 90.00°
Each line ends with the local moment (μB).
Fractional coordinates of all 5 atoms:
Ga: 0.000 0.000 0.000  0.00
Fe: 0.500 0.500 0.500  4.03
I: 0.500 0.000 0.000  0.05
I: 0.000 0.500 0.000  0.05
O: 0.000 0.000 0.500  0.00

crystal system = tetragonal
polymorph energy (0 for the lowest one) = 417.2 meV/atom
density of states at the Fermi level = 2.88 states/eV per cell